1.
Be3IrS | SCAN | PBEsol geometry

Results
Total magnetization (μB per atom): 0.0000
Total DFT energy (no corrections) (eV per atom): -18.262
Formation energy from raw total energies (meV per atom): 495
Crystal system: cubic

The structure in POSCAR format:
```
Be3IrS
1.0
-0.579 -3.698 -1.927
4.087 -0.118 -1.002
0.826 -2.008 3.607
S Be Ir
1 3 1
direct
0.500 0.500 0.500
0.000 0.500 0.000
0.000 0.000 0.500
0.500 0.000 0.000
0.000 0.000 0.000
```

***

2.
K2LaP | SCAN | PBEsol geometry

Results
Total magnetization (μB per atom): 0.0001
Total DFT energy (no corrections) (eV per atom): -17.752
Formation energy from the elements (eV/atom): -0.211
Crystal system: orthorhombic

The structure in POSCAR format:
```
K2LaP
1.0
-4.463 0.207 -0.351
-0.014 -1.676 4.157
0.087 5.948 2.398
K P La
2 1 1
direct
0.786 0.214 0.000
0.214 0.786 0.000
0.000 0.000 0.500
0.500 0.500 0.500
```

***

3.
TcAg5 | SCAN | PBEsol geometry

Results
Total magnetization (μB per atom): 0.6465
Total DFT energy (no corrections) (eV per atom): -31.326
Excess energy over the best structure of this formula in the dataset (meV/atom): 312
Formation energy from the elements (eV/atom): 0.656
Crystal system: hexagonal

The structure in POSCAR format:
```
TcAg5
1.0
4.648 0.000 0.000
0.000 5.228 0.000
0.000 -2.614 4.528
Ag Tc
5 1
direct
0.500 0.500 0.000
0.000 0.667 0.333
0.500 0.500 0.500
0.500 0.000 0.500
0.000 0.333 0.667
0.000 0.000 0.000
```

***

What is the formula in the third record?
TcAg5